No. 1
# CaTb4NdSm2, optimized geometry, DFT GGA-PBE
# ΔE_f in eV per atom: 0.415
# E in eV per atom: -3.93
data_CaTb4NdSm2
_chemical_formula_sum 'Ca4 Tb16 Nd4 Sm8'
_symmetry_space_group_name_H-M 'C 1 2/c 1'
_symmetry_Int_Tables_number 15
_symmetry_space_group_name_Hall '-C 2yc'
_cell_length_a 13.820
_cell_length_b 13.439
_cell_length_c 6.881
_cell_angle_alpha 90.00
_cell_angle_beta 119.72
_cell_angle_gamma 90.00
loop_
_atom_site_label
_atom_site_type_symbol
_atom_site_fract_x
_atom_site_fract_y
_atom_site_fract_z
Ca1 Ca 0.000 0.000 0.000
Tb1 Tb 0.005 0.253 0.005
Tb2 Tb 0.236 0.499 0.980
Nd1 Nd 0.250 0.250 0.500
Sm1 Sm 0.000 0.500 0.000
Sm2 Sm 0.250 0.250 0.000



No. 2
# LaBiAs2O8, optimized geometry, DFT GGA-PBE
# E in eV per atom: -6.53
# ΔE_f (raw) in eV per formula unit: -20.6
data_LaBiAs2O8
_chemical_formula_sum 'La1 Bi1 As2 O8'
_symmetry_space_group_name_H-M 'P -3 m 1'
_symmetry_Int_Tables_number 164
_symmetry_space_group_name_Hall '-P 3 2"'
_cell_length_a 5.5962
_cell_length_b 5.5962
_cell_length_c 7.4782
_cell_angle_alpha 90.00
_cell_angle_beta 90.00
_cell_angle_gamma 120.00
loop_
_atom_site_label
_atom_site_type_symbol
_atom_site_fract_x
_atom_site_fract_y
_atom_site_fract_z
La1 La 0.0000 0.0000 0.0000
Bi1 Bi 0.0000 0.0000 0.5000
As1 As 0.3333 0.6667 0.1970
O1 O 0.1645 0.3289 0.2706
O2 O 0.3333 0.6667 0.9709



No. 3
# V5Fe2MoRu2, optimized geometry, DFT GGA-PBE
# ΔE_f in eV per atom: 0.086
# E in eV per atom: -9.10
data_V5Fe2MoRu2
_chemical_formula_sum 'V10 Fe4 Mo2 Ru4'
_symmetry_space_group_name_H-M 'P 4/m b m'
_symmetry_Int_Tables_number 127
_symmetry_space_group_name_Hall '-P 4 2ab'
_cell_length_a 9.231
_cell_length_b 9.231
_cell_length_c 3.160
_cell_angle_alpha 90.00
_cell_angle_beta 90.00
_cell_angle_gamma 90.00
loop_
_atom_site_label
_atom_site_type_symbol
_atom_site_fract_x
_atom_site_fract_y
_atom_site_fract_z
V1 V 0.000 0.500 0.000
V2 V 0.070 0.202 0.000
Fe1 Fe 0.127 0.373 0.500
Mo1 Mo 0.000 0.000 0.500
Ru1 Ru 0.170 0.670 0.500



No. 4
# MgP2BrO, optimized geometry, DFT GGA-PBE
# E above lowest polymorph in eV/atom: 0.0000
# E in eV per atom: -3.39
# ΔE_f (raw) in eV per formula unit: 2.1
data_MgP2BrO
_chemical_formula_sum 'Mg1 P2 Br1 O1'
_symmetry_space_group_name_H-M 'P 4/m m m'
_symmetry_Int_Tables_number 123
_symmetry_space_group_name_Hall '-P 4 2'
_cell_length_a 5.085
_cell_length_b 5.085
_cell_length_c 3.712
_cell_angle_alpha 90.00
_cell_angle_beta 90.00
_cell_angle_gamma 90.00
loop_
_atom_site_label
_atom_site_type_symbol
_atom_site_fract_x
_atom_site_fract_y
_atom_site_fract_z
Mg1 Mg 0.000 0.000 0.000
P1 P 0.000 0.500 0.000
Br1 Br 0.500 0.500 0.500
O1 O 0.000 0.000 0.500



No. 5
# CdAgOs2, optimized geometry, DFT GGA-PBE
# ΔE_f in eV per atom: 0.407
# E in eV per atom: -6.15
data_CdAgOs2
_chemical_formula_sum 'Cd1 Ag1 Os2'
_symmetry_space_group_name_H-M 'P m m 2'
_symmetry_Int_Tables_number 25
_symmetry_space_group_name_Hall 'P 2 -2'
_cell_length_a 2.836
_cell_length_b 3.796
_cell_length_c 6.211
_cell_angle_alpha 90.00
_cell_angle_beta 90.00
_cell_angle_gamma 90.00
loop_
_atom_site_label
_atom_site_type_symbol
_atom_site_fract_x
_atom_site_fract_y
_atom_site_fract_z
Cd1 Cd 0.000 0.000 0.000
Ag1 Ag 0.500 0.500 0.747
Os1 Os 0.000 0.000 0.464
Os2 Os 0.500 0.500 0.293



No. 6
# Tm3GaIr3, optimized geometry, DFT GGA-PBE
# ΔE_f in eV per atom: -0.895
# E in eV per atom: -7.04
data_Tm3GaIr3
_chemical_formula_sum 'Tm12 Ga4 Ir12'
_symmetry_space_group_name_H-M 'C m c m'
_symmetry_Int_Tables_number 63
_symmetry_space_group_name_Hall '-C 2c 2'
_cell_length_a 4.113
_cell_length_b 10.144
_cell_length_c 13.615
_cell_angle_alpha 90.00
_cell_angle_beta 90.00
_cell_angle_gamma 90.00
loop_
_atom_site_label
_atom_site_type_symbol
_atom_site_fract_x
_atom_site_fract_y
_atom_site_fract_z
Tm1 Tm 0.000 0.018 0.250
Tm2 Tm 0.000 0.299 0.106
Ga1 Ga 0.000 0.000 0.000
Ir1 Ir 0.000 0.263 0.750
Ir2 Ir 0.000 0.411 0.589



The records above yield DOS at the Fermi energy values of 2.29 0.00 1.04 0.95 0.40 0.52 states/eV/atom, respectively.